The following is a meta-GGA SCAN calculation of CaAlAg2 at its PBEsol-relaxed geometry, from the Alexandria database.

a b c (Å): 9.144 9.144 9.144
angles (deg): 20.54 20.54 20.54
Sites, in units of the cell vectors:
Ca 0.000 0.000 0.000
Al 0.762 0.762 0.762
Ag 0.244 0.244 0.244
Ag 0.499 0.499 0.499

Calculated values
Space-group type: R3m, No. 160

The following is a meta-GGA SCAN calculation of GaSeN2F at its PBEsol-relaxed geometry, from the Alexandria database.

a b c (Å): 3.766 3.766 4.461
angles (deg): 90.00 90.00 90.00
Sites, in units of the cell vectors:
Ga 0.000 0.000 0.000
Se 0.500 0.500 0.500
N 0.000 0.500 0.500
N 0.500 0.000 0.500
F 0.500 0.500 0.000

Calculated values
Space-group type: P4/mmm, No. 123
Formation energy from raw total energies: 857 meV/atom
E above lowest polymorph: 0 meV/atom

Q: Which VASP energy values were calculated for the entries above? A: -19.94 -10.85, in eV/atom.
Q: Which N(E_F) values were calculated for the entries above? A: 1.85 1.91, in states/eV/f.u..